This record from the Alexandria database describes a geometry-optimized Cd2FeSbMo structure. The functional is GGA-PBE.

Lattice parameters (Å, degrees): 5.371 5.371 5.194 90.00 90.00 90.00
Space group P4/mmm (No. 123)
One atom of each set of equivalent atoms:
Cd (0.000, 0.500, 0.000)
Fe (0.000, 0.000, 0.500)
Sb (0.500, 0.500, 0.000)
Mo (0.500, 0.500, 0.500)

- E_tot: -0.126 hartree per atom
- DOS at the Fermi energy: 1.714 states/eV/atom
- Uncorrected formation energy: 1.6138 eV/atom